[1]
Material: SrAcBiPb
Method: DFT, GGA-PBE
State: optimized geometry

a b c (Å): 5.891 5.891 5.891
angles (deg): 60.00 60.00 60.00
Fractional coordinates of all 4 atoms:
Sr1 0.000 0.000 0.000
Ac1 0.500 0.500 0.500
Bi1 0.750 0.750 0.750
Pb1 0.250 0.250 0.250

Properties
Spin magnetization: 0.00 Bohr magnetons per cell
Space-group type: F-43m (216)
Formation energy: -0.581 eV per atom



[2]
Material: Ac8Bi3Te4Pb
Method: DFT, GGA-PBE
State: optimized geometry

a b c (Å): 9.601 9.601 9.601
angles (deg): 60.47 60.47 60.47
Fractional coordinates of all 16 atoms:
Ac1 0.249 0.249 0.249
Ac2 0.252 0.746 0.746
Ac3 0.254 0.254 0.748
Ac4 0.254 0.748 0.254
Ac5 0.746 0.252 0.746
Ac6 0.746 0.746 0.252
Ac7 0.748 0.254 0.254
Ac8 0.751 0.751 0.751
Bi1 0.000 0.000 0.500
Bi2 0.000 0.500 0.000
Bi3 0.500 0.000 0.000
Te1 0.000 0.000 0.000
Te2 0.000 0.500 0.500
Te3 0.500 0.000 0.500
Te4 0.500 0.500 0.000
Pb1 0.500 0.500 0.500

Properties
Spin magnetization: 0.00 Bohr magnetons per cell
Space-group type: R-3m (166)
Formation energy without anion corrections: -1.227 eV per atom